Run i
Material: ReTcW2
Method: DFT, PBEsol
State: relaxed

Calculated values
As for the symmetry: Immm (71). For the volume, the calculation gives 60.2 Å³ per cell. The density of states at the Fermi level is 3.591 states/eV/f.u.

Lattice parameters (Å, degrees): 3.0991 4.4443 5.1437 115.60 107.53 90.00
Atoms (fractional coordinates):
Re 0.5000 0.0000 0.0000
Tc 0.0000 0.5000 0.0000
W 0.7529 0.7529 0.5058
W 0.2471 0.2471 0.4942



Run ii
Material: ReTcW2
Method: DFT, PBEsol
State: relaxed

Calculated values
As for the symmetry: P4/mmm (123). For the volume, the calculation gives 60.2 Å³ per cell. The density of states at the Fermi level is 3.328 states/eV/f.u.

Lattice parameters (Å, degrees): 3.1095 3.1095 6.2270 90.00 90.00 90.00
Atoms (fractional coordinates):
Re 0.5000 0.5000 0.0000
Tc 0.5000 0.5000 0.5000
W 0.0000 0.0000 0.7498
W 0.0000 0.0000 0.2502



So which one is most stable? That would be run ii, about 3.2 kJ/mol of atoms below the next structure.



Run i
Material: Tl2HgAu
Method: DFT, PBEsol
State: relaxed

Calculated values
As for the symmetry: Pmmm (47). For the volume, the calculation gives 95.4 Å³ per cell. The density of states at the Fermi level is 1.107 states/eV/f.u.

Lattice parameters (Å, degrees): 4.0555 4.8192 4.8824 90.00 90.00 90.00
Atoms (fractional coordinates):
Tl 0.0000 0.0000 0.0000
Tl 0.0000 0.5000 0.5000
Au 0.5000 0.5000 0.0000
Hg 0.5000 0.0000 0.5000



Run ii
Material: Tl2HgAu
Method: DFT, PBEsol
State: relaxed

Calculated values
As for the symmetry: Fm-3m (225). For the volume, the calculation gives 96.3 Å³ per cell. The density of states at the Fermi level is 1.168 states/eV/f.u.

Lattice parameters (Å, degrees): 5.1450 5.1450 5.1450 60.00 60.00 60.00
Atoms (fractional coordinates):
Tl 0.2500 0.2500 0.2500
Tl 0.7500 0.7500 0.7500
Au 0.0000 0.0000 0.0000
Hg 0.5000 0.5000 0.5000



So which one is most stable? That would be run ii, about 1.1 kJ/mol of atoms below the next structure.



Run i
Material: CaNiMo2
Method: DFT, PBEsol
State: relaxed

Calculated values
As for the symmetry: P4mm (99). For the volume, the calculation gives 64.1 Å³ per cell. The density of states at the Fermi level is 3.507 states/eV/f.u.

Lattice parameters (Å, degrees): 2.6970 2.6970 8.8152 90.00 90.00 90.00
Atoms (fractional coordinates):
Ca 0.5000 0.5000 0.7233
Mo 0.0000 0.0000 0.0246
Mo 0.5000 0.5000 0.2821
Ni 0.0000 0.0000 0.4701



Run ii
Material: CaNiMo2
Method: DFT, PBEsol
State: relaxed

Calculated values
As for the symmetry: C2/m (12). For the volume, the calculation gives 63.9 Å³ per cell. The density of states at the Fermi level is 4.174 states/eV/f.u.

Lattice parameters (Å, degrees): 2.6395 5.0856 5.5246 114.10 97.98 102.55
Atoms (fractional coordinates):
Ca 0.0000 0.5000 0.0000
Mo 0.0000 0.0000 0.5000
Mo 0.5000 0.5000 0.5000
Ni 0.5000 0.0000 0.0000



So which one is most stable? That would be run i, about 18.4 kJ/mol of atoms below the next structure.



Run i
Material: K2CdPt
Method: DFT, PBEsol
State: relaxed

Calculated values
As for the symmetry: Amm2 (38). For the volume, the calculation gives 130.7 Å³ per cell. The density of states at the Fermi level is 1.302 states/eV/f.u.

Lattice parameters (Å, degrees): 4.6499 4.8335 6.2995 112.56 90.00 90.00
Atoms (fractional coordinates):
K 0.0000 0.1019 0.2037
K 0.5000 0.3952 0.7904
Pt 0.0000 0.8052 0.6105
Cd 0.5000 0.6983 0.3966



Run ii
Material: K2CdPt
Method: DFT, PBEsol
State: relaxed

Calculated values
As for the symmetry: Pmmm (47). For the volume, the calculation gives 110.3 Å³ per cell. The density of states at the Fermi level is 1.435 states/eV/f.u.

Lattice parameters (Å, degrees): 2.9226 4.4613 8.4560 90.00 90.00 90.00
Atoms (fractional coordinates):
Cd 0.5000 0.5000 0.5000
K 0.0000 0.0000 0.7909
K 0.0000 0.0000 0.2091
Pt 0.5000 0.5000 0.0000



So which one is most stable? That would be run i, about 15.7 kJ/mol of atoms below the next structure.